# HfTaNbTc

A relaxed structure of HfTaNbTc (PBE, Alexandria via LeMat-Bulk).

The structure in CIF format:
```
data_HfTaNbTc
_chemical_formula_sum 'Hf1 Ta1 Nb1 Tc1'
_cell_length_a 3.2337
_cell_length_b 3.2337
_cell_length_c 6.8749
_cell_angle_alpha 90.00
_cell_angle_beta 90.00
_cell_angle_gamma 90.00
_symmetry_space_group_name_H-M 'P 4 m m'
_symmetry_Int_Tables_number 99
_symmetry_space_group_name_Hall 'P 4 -2'
loop_
_atom_site_label
_atom_site_type_symbol
_atom_site_fract_x
_atom_site_fract_y
_atom_site_fract_z
Hf1 Hf 0.0000 0.0000 0.0000
Ta1 Ta 0.5000 0.5000 0.2761
Nb1 Nb 0.0000 0.0000 0.5329
Tc1 Tc 0.5000 0.5000 0.7543
```

Properties
Spin magnetization (μB/cell): 0.0
Crystal system: tetragonal
ΔH_f (0 K) (meV per atom): -193.9
Excess energy over the best structure of this formula in the dataset (meV/atom): 0
Calculated total energy (eV per atom): -10.75

# HfTaNbTc

A relaxed structure of HfTaNbTc (PBE, Alexandria via LeMat-Bulk).

The structure in CIF format:
```
data_HfTaNbTc
_chemical_formula_sum 'Hf4 Ta4 Nb4 Tc4'
_cell_length_a 6.5702
_cell_length_b 6.5702
_cell_length_c 6.5702
_cell_angle_alpha 90.00
_cell_angle_beta 90.00
_cell_angle_gamma 90.00
_symmetry_space_group_name_H-M 'F -4 3 m'
_symmetry_Int_Tables_number 216
_symmetry_space_group_name_Hall 'F -4 2 3'
loop_
_atom_site_label
_atom_site_type_symbol
_atom_site_fract_x
_atom_site_fract_y
_atom_site_fract_z
Hf1 Hf 0.0000 0.0000 0.0000
Ta1 Ta 0.0000 0.0000 0.5000
Nb1 Nb 0.2500 0.2500 0.2500
Tc1 Tc 0.2500 0.2500 0.7500
```

Properties
Spin magnetization (μB/cell): 0.0
Crystal system: cubic
ΔH_f (0 K) (meV per atom): -176.0
Excess energy over the best structure of this formula in the dataset (meV/atom): 18
Calculated total energy (eV per atom): -10.74

# TbHfNb4

A relaxed structure of TbHfNb4 (PBE, Alexandria via LeMat-Bulk).

The structure in CIF format:
```
data_TbHfNb4
_chemical_formula_sum 'Tb4 Hf4 Nb16'
_cell_length_a 7.9574
_cell_length_b 7.9574
_cell_length_c 7.9574
_cell_angle_alpha 90.00
_cell_angle_beta 90.00
_cell_angle_gamma 90.00
_symmetry_space_group_name_H-M 'F -4 3 m'
_symmetry_Int_Tables_number 216
_symmetry_space_group_name_Hall 'F -4 2 3'
loop_
_atom_site_label
_atom_site_type_symbol
_atom_site_fract_x
_atom_site_fract_y
_atom_site_fract_z
Tb1 Tb 0.0000 0.0000 0.0000
Hf1 Hf 0.2500 0.2500 0.2500
Nb1 Nb 0.1250 0.1250 0.6250
```

Properties
Spin magnetization (μB/cell): 0.0
Crystal system: cubic
ΔH_f (0 K) (meV per atom): 144.2
Calculated total energy (eV per atom): -9.00

# HfNb3Tc4

A relaxed structure of HfNb3Tc4 (PBE, Alexandria via LeMat-Bulk).

The structure in CIF format:
```
data_HfNb3Tc4
_chemical_formula_sum 'Hf1 Nb3 Tc4'
_cell_length_a 3.2079
_cell_length_b 4.5401
_cell_length_c 9.0695
_cell_angle_alpha 90.00
_cell_angle_beta 90.00
_cell_angle_gamma 90.00
_symmetry_space_group_name_H-M 'P m m m'
_symmetry_Int_Tables_number 47
_symmetry_space_group_name_Hall '-P 2 2'
loop_
_atom_site_label
_atom_site_type_symbol
_atom_site_fract_x
_atom_site_fract_y
_atom_site_fract_z
Hf1 Hf 0.0000 0.0000 0.0000
Nb1 Nb 0.0000 0.0000 0.5000
Nb2 Nb 0.0000 0.5000 0.2503
Tc1 Tc 0.5000 0.0000 0.2560
Tc2 Tc 0.5000 0.5000 0.0000
Tc3 Tc 0.5000 0.5000 0.5000
```

Properties
Spin magnetization (μB/cell): 0.0
Crystal system: orthorhombic
ΔH_f (0 K) (meV per atom): -404.7
Calculated total energy (eV per atom): -10.61

# Hf2Nb3Tc2

A relaxed structure of Hf2Nb3Tc2 (PBE, Alexandria via LeMat-Bulk).

The structure in CIF format:
```
data_Hf2Nb3Tc2
_chemical_formula_sum 'Hf4 Nb6 Tc4'
_cell_length_a 10.9877
_cell_length_b 3.1973
_cell_length_c 8.2567
_cell_angle_alpha 90.00
_cell_angle_beta 115.22
_cell_angle_gamma 90.00
_symmetry_space_group_name_H-M 'C 1 2/m 1'
_symmetry_Int_Tables_number 12
_symmetry_space_group_name_Hall '-C 2y'
loop_
_atom_site_label
_atom_site_type_symbol
_atom_site_fract_x
_atom_site_fract_y
_atom_site_fract_z
Hf1 Hf 0.1460 0.0000 0.3239
Nb1 Nb 0.0000 0.5000 0.5000
Nb2 Nb 0.1111 0.5000 0.9557
Tc1 Tc 0.1749 0.0000 0.7412
```

Properties
Spin magnetization (μB/cell): 0.0
Crystal system: monoclinic
ΔH_f (0 K) (meV per atom): -56.4
Calculated total energy (eV per atom): -10.18

# Hf3NbTc2

A relaxed structure of Hf3NbTc2 (PBE, Alexandria via LeMat-Bulk).

The structure in CIF format:
```
data_Hf3NbTc2
_chemical_formula_sum 'Hf3 Nb1 Tc2'
_cell_length_a 3.2673
_cell_length_b 3.2673
_cell_length_c 10.3012
_cell_angle_alpha 90.00
_cell_angle_beta 90.00
_cell_angle_gamma 90.00
_symmetry_space_group_name_H-M 'P 4/m m m'
_symmetry_Int_Tables_number 123
_symmetry_space_group_name_Hall '-P 4 2'
loop_
_atom_site_label
_atom_site_type_symbol
_atom_site_fract_x
_atom_site_fract_y
_atom_site_fract_z
Hf1 Hf 0.0000 0.0000 0.0000
Hf2 Hf 0.0000 0.0000 0.3109
Nb1 Nb 0.5000 0.5000 0.5000
Tc1 Tc 0.5000 0.5000 0.1616
```

Properties
Spin magnetization (μB/cell): 0.0
Crystal system: tetragonal
ΔH_f (0 K) (meV per atom): -313.8
Calculated total energy (eV per atom): -10.42